# 1
An optimized crystal structure of InNiPdPt. Source: OQMD, functional PBE.

* energy relative to the lowest polymorph listed for this composition: 0 meV per atom
* crystal system: cubic

a b c (Å): 6.2877 6.2877 6.2877
angles (deg): 90.00 90.00 90.00
Atoms (fractional coordinates):
1 In 0.0000 0.0000 0.0000
2 In 0.0000 0.5000 0.5000
3 In 0.5000 0.0000 0.5000
4 In 0.5000 0.5000 0.0000
5 Ni 0.2500 0.2500 0.2500
6 Ni 0.2500 0.7500 0.7500
7 Ni 0.7500 0.2500 0.7500
8 Ni 0.7500 0.7500 0.2500
9 Pd 0.2500 0.2500 0.7500
10 Pd 0.2500 0.7500 0.2500
11 Pd 0.7500 0.2500 0.2500
12 Pd 0.7500 0.7500 0.7500
13 Pt 0.0000 0.0000 0.5000
14 Pt 0.0000 0.5000 0.0000
15 Pt 0.5000 0.0000 0.0000
16 Pt 0.5000 0.5000 0.5000

***

# 2
An optimized crystal structure of K2CuS2. Source: OQMD, functional PBE.

* crystal system: monoclinic

a b c (Å): 11.3769 3.5708 6.4341
angles (deg): 90.00 103.33 90.00
Atoms (fractional coordinates):
1 K 0.1614 0.0000 0.2107
2 K 0.3386 0.5000 0.7893
3 K 0.6614 0.5000 0.2107
4 K 0.8386 0.0000 0.7893
5 Cu 0.0000 0.5000 0.5000
6 Cu 0.5000 0.0000 0.5000
7 S 0.1046 0.0000 0.7018
8 S 0.3954 0.5000 0.2982
9 S 0.6046 0.5000 0.7018
10 S 0.8954 0.0000 0.2982

***

# 3
An optimized crystal structure of BaGd2Mg3CdHg2. Source: OQMD, functional PBE.

* crystal system: orthorhombic

a b c (Å): 4.2965 8.1924 8.1924
angles (deg): 120.40 90.00 90.00
Atoms (fractional coordinates):
1 Ba 0.0000 0.0000 0.0000
2 Gd 0.0000 0.4145 0.8264
3 Gd 0.0000 0.8264 0.4145
4 Mg 0.5000 0.1724 0.4260
5 Mg 0.5000 0.4260 0.1724
6 Mg 0.5000 0.6545 0.6545
7 Cd 0.0000 0.4261 0.4261
8 Hg 0.5000 0.0886 0.7301
9 Hg 0.5000 0.7301 0.0886

***

# 4
An optimized crystal structure of Y2CdAu2. Source: OQMD, functional PBE.

* crystal system: tetragonal
* E_form: -0.46 eV/atom

a b c (Å): 5.0652 5.0652 10.5500
angles (deg): 90.00 90.00 90.00
Atoms (fractional coordinates):
1 Y 0.0000 0.5000 0.2500
2 Y 0.0000 0.5000 0.7500
3 Y 0.5000 0.0000 0.2500
4 Y 0.5000 0.0000 0.7500
5 Cd 0.0000 0.0000 0.0000
6 Cd 0.5000 0.5000 0.5000
7 Au 0.0000 0.0000 0.3765
8 Au 0.0000 0.0000 0.6235
9 Au 0.5000 0.5000 0.1235
10 Au 0.5000 0.5000 0.8765

***

# 5
An optimized crystal structure of NaTbOs. Source: OQMD, functional PBE.

* energy relative to the lowest polymorph listed for this composition: 0 meV per atom
* crystal system: cubic

a b c (Å): 6.6380 6.6380 6.6380
angles (deg): 90.00 90.00 90.00
Atoms (fractional coordinates):
1 Na 0.0000 0.0000 0.0000
2 Na 0.0000 0.5000 0.5000
3 Na 0.5000 0.0000 0.5000
4 Na 0.5000 0.5000 0.0000
5 Tb 0.0000 0.0000 0.5000
6 Tb 0.0000 0.5000 0.0000
7 Tb 0.5000 0.0000 0.0000
8 Tb 0.5000 0.5000 0.5000
9 Os 0.2500 0.2500 0.2500
10 Os 0.2500 0.7500 0.7500
11 Os 0.7500 0.2500 0.7500
12 Os 0.7500 0.7500 0.2500

***

# 6
An optimized crystal structure of PrGe4Ir3. Source: OQMD, functional PBE.

* crystal system: monoclinic

a b c (Å): 5.8813 3.9553 6.4840
angles (deg): 90.00 90.01 90.00
Atoms (fractional coordinates):
1 Pr 0.0000 0.0000 0.0000
2 Ge 0.2644 0.5000 0.2638
3 Ge 0.4674 0.0000 0.7954
4 Ge 0.7045 0.0000 0.3698
5 Ge 0.9247 0.5000 0.6394
6 Ir 0.1411 0.0000 0.5112
7 Ir 0.5113 0.5000 0.5605
8 Ir 0.5871 0.5000 0.0036

***

# 7
An optimized crystal structure of Y2CuPd2. Source: OQMD, functional PBE.

* crystal system: tetragonal
* E_form: -0.65 eV/atom

a b c (Å): 7.4167 7.4167 3.8096
angles (deg): 90.00 90.00 90.00
Atoms (fractional coordinates):
1 Y 0.1726 0.3274 0.0000
2 Y 0.3274 0.8274 0.0000
3 Y 0.6726 0.1726 0.0000
4 Y 0.8274 0.6726 0.0000
5 Cu 0.0000 0.0000 0.5000
6 Cu 0.5000 0.5000 0.5000
7 Pd 0.1326 0.6325 0.5000
8 Pd 0.3674 0.1326 0.5000
9 Pd 0.6325 0.8674 0.5000
10 Pd 0.8674 0.3674 0.5000

***

# 8
An optimized crystal structure of ThZrCd. Source: OQMD, functional PBE.

* energy relative to the lowest polymorph listed for this composition: 0 meV per atom
* crystal system: cubic
* E_form: 0.68 eV/atom

a b c (Å): 7.0687 7.0687 7.0687
angles (deg): 90.00 90.00 90.00
Atoms (fractional coordinates):
1 Th 0.0000 0.0000 0.0000
2 Th 0.0000 0.5000 0.5000
3 Th 0.5000 0.0000 0.5000
4 Th 0.5000 0.5000 0.0000
5 Zr 0.2500 0.2500 0.7500
6 Zr 0.2500 0.7500 0.2500
7 Zr 0.7500 0.2500 0.2500
8 Zr 0.7500 0.7500 0.7500
9 Cd 0.0000 0.0000 0.5000
10 Cd 0.0000 0.5000 0.0000
11 Cd 0.5000 0.0000 0.0000
12 Cd 0.5000 0.5000 0.5000

***

Number 1: final energy -5.12 eV per atom. Number 2: final energy -3.54 eV per atom. Number 3: final energy -2.22 eV per atom. Number 4: final energy -4.53 eV per atom. Number 5: final energy -4.96 eV per atom. Number 6: final energy -6.54 eV per atom. Number 7: final energy -6.05 eV per atom. Number 8: final energy -4.94 eV per atom.